Entry 1:
VASP calculation (PBE) on crystalline Y3GePb2 at its relaxed geometry.

a b c (Å): 12.741 4.384 12.040
angles (deg): 90.00 90.00 90.00
Sites, in units of the cell vectors:
Y1 0.055 0.250 0.119
Y2 0.114 0.750 0.545
Y3 0.248 0.750 0.279
Y4 0.252 0.250 0.779
Y5 0.386 0.250 0.045
Y6 0.445 0.750 0.619
Y7 0.555 0.250 0.381
Y8 0.614 0.750 0.955
Y9 0.748 0.750 0.221
Y10 0.752 0.250 0.721
Y11 0.886 0.250 0.455
Y12 0.945 0.750 0.881
Ge1 0.121 0.250 0.373
Ge2 0.379 0.750 0.873
Ge3 0.621 0.250 0.127
Ge4 0.879 0.750 0.627
Pb1 0.021 0.250 0.713
Pb2 0.186 0.750 0.999
Pb3 0.314 0.250 0.499
Pb4 0.479 0.750 0.213
Pb5 0.521 0.250 0.787
Pb6 0.686 0.750 0.501
Pb7 0.814 0.250 0.001
Pb8 0.979 0.750 0.287

Computed properties:
For the calculated formation energy, the calculation gives -0.525 eV per atom. The total energy comes out at -5.763 eV/atom. The calculation puts the density of states at the Fermi level at 0.70 states/eV per atom.


Entry 2:
VASP calculation (PBE) on crystalline ZnGe2Pb at its relaxed geometry.

a b c (Å): 6.828 6.828 6.828
angles (deg): 34.50 34.50 34.50
Sites, in units of the cell vectors:
Zn1 0.000 0.000 0.000
Ge1 0.275 0.275 0.275
Ge2 0.725 0.725 0.725
Pb1 0.500 0.500 0.500

Computed properties:
For the calculated formation energy, the calculation gives 0.222 eV per atom. The total energy comes out at -3.332 eV/atom. The calculation puts the density of states at the Fermi level at 0.41 states/eV per atom.


Entry 3:
VASP calculation (PBE) on crystalline ZnGePb at its relaxed geometry.

a b c (Å): 4.309 4.309 4.443
angles (deg): 90.00 90.00 120.00
Sites, in units of the cell vectors:
Zn1 0.000 0.000 0.000
Ge1 0.333 0.667 0.998
Pb1 0.667 0.333 0.499

Computed properties:
For the calculated formation energy, the calculation gives 0.128 eV per atom. The total energy comes out at -3.072 eV/atom. The calculation puts the density of states at the Fermi level at 0.37 states/eV per atom.